{"formula": "BaSi3Ru", "functional": "PBE-GGA", "state": "relaxed", "raw_formation_energy_ev_per_atom": 2.53, "volume_a3_per_atom": 31.43, "sg": "No. 221", "lattice": [[5.3965, 0.0000, 0.0000], [0.0000, 5.3965, 0.0000], [0.0000, 0.0000, 5.3965]], "species": ["Si", "Si", "Ru", "Ba", "Si"], "fractional_positions": [[0.0000, 0.0000, 0.5000], [0.0000, 0.5000, 0.0000], [0.5000, 0.5000, 0.5000], [0.0000, 0.0000, 0.0000], [0.5000, 0.0000, 0.0000]]}